[1]
# RbMgIBr2 PBE optimized geometry
# ΔE_f (raw) = -1.387 eV per atom
data_RbMgIBr2
_chemical_formula_sum 'Rb2 Mg2 I2 Br4'
_symmetry_space_group_name_H-M 'P 1'
_symmetry_Int_Tables_number 1
_symmetry_space_group_name_Hall 'P 1'
_cell_length_a 9.1645
_cell_length_b 9.1645
_cell_length_c 9.0219
_cell_angle_alpha 90.00
_cell_angle_beta 90.00
_cell_angle_gamma 150.92
loop_
_atom_site_label
_atom_site_type_symbol
_atom_site_fract_x
_atom_site_fract_y
_atom_site_fract_z
_atom_site_occupancy
Rb1 Rb 0.2111 0.7889 0.7500 1
Rb2 Rb 0.7889 0.2111 0.2500 1
Mg1 Mg 0.5000 0.5000 0.0000 1
Mg2 Mg 0.5000 0.5000 0.5000 1
I1 I 0.0034 0.9966 0.2500 1
I2 I 0.9966 0.0034 0.7500 1
Br1 Br 0.3588 0.6412 0.0016 1
Br2 Br 0.3588 0.6412 0.4984 1
Br3 Br 0.6412 0.3588 0.5016 1
Br4 Br 0.6412 0.3588 0.9984 1

[2]
# RbMgI2Br PBE optimized geometry
# ΔE_f (raw) = -1.291 eV per atom
data_RbMgI2Br
_chemical_formula_sum 'Rb1 Mg1 I2 Br1'
_symmetry_space_group_name_H-M 'P 1'
_symmetry_Int_Tables_number 1
_symmetry_space_group_name_Hall 'P 1'
_cell_length_a 5.9327
_cell_length_b 5.9327
_cell_length_c 5.3194
_cell_angle_alpha 90.00
_cell_angle_beta 90.00
_cell_angle_gamma 90.00
loop_
_atom_site_label
_atom_site_type_symbol
_atom_site_fract_x
_atom_site_fract_y
_atom_site_fract_z
_atom_site_occupancy
Rb1 Rb 0.0000 0.0000 0.0000 1
Mg1 Mg 0.5000 0.5000 0.5000 1
I1 I 0.0000 0.5000 0.5000 1
I2 I 0.5000 0.0000 0.5000 1
Br1 Br 0.5000 0.5000 0.0000 1

Across the entries above, relative energy among the computed polymorphs takes the values 35; 20 meV/atom, respectively.
Across the entries above, magnetization takes the values 0.000; 0.000 μB/f.u., respectively.